DFT (PBE) results for a relaxed YZnPt2C crystal.

```
YZnPt2C
1.0
5.204 0.000 0.000
0.000 5.204 0.000
0.000 0.000 4.398
Y Zn Pt C
1 1 2 1
Cartesian
0.000 0.000 0.000 Y
2.602 2.602 2.199 Zn
0.000 2.602 0.000 Pt
2.602 0.000 0.000 Pt
0.000 0.000 2.199 C
```

Properties
mass density: 7.76 g/cm3
energy of formation from the pure elements: 1516 meV per atom
symmetry: P4/mmm (123)
spin magnetization: 1.1 μB per formula unit
D(E_F): 2.87 states/eV per cell

DFT (PBE) results for a relaxed YZnPtC2 crystal.

```
YZnPtC2
1.0
4.434 0.000 0.000
0.000 4.434 0.000
0.000 0.000 5.372
Y Zn Pt C
1 1 1 2
Cartesian
0.000 0.000 0.000 Y
2.217 2.217 2.686 Zn
0.000 0.000 2.686 Pt
0.000 2.217 0.000 C
2.217 0.000 0.000 C
```

Properties
mass density: 5.87 g/cm3
energy of formation from the pure elements: 2095 meV per atom
symmetry: P4/mmm (123)
spin magnetization: 0.0 μB per formula unit
D(E_F): 3.99 states/eV per cell